[1]
The following is a PBE calculation of a relaxed Tl2CuSnS4 crystal, from the Alexandria database.

```
8
Lattice="-2.893 2.304 6.181 -4.416 -5.690 0.051 6.395 -0.415 -1.047" Properties=species:S:1:pos:R:3 pbc="T T T"
Sn 1.216 -0.896 5.101
Tl 1.289 -0.992 0.973
S -0.257 -1.996 3.483
Cu -2.361 -2.688 4.093
S -2.840 -3.786 2.132
S -2.912 -0.797 5.276
Tl 0.454 -4.894 2.036
S 0.980 1.518 5.427
```

Output
Formation energy (no corrections) (eV/atom): -0.306
DFT total energy (eV/atom): -3.9741



[2]
The following is a PBE calculation of a relaxed Al3VS crystal, from the Alexandria database.

```
5
Lattice="-3.876 -0.059 3.060 -2.033 -3.642 -2.645 2.288 -3.335 2.834" Properties=species:S:1:pos:R:3 pbc="T T T"
S -1.810 -3.518 1.624
Al 1.144 -1.668 1.417
Al -1.016 -1.821 -1.322
Al -1.938 -0.029 1.530
V 0.000 0.000 0.000
```

Output
Distance to the lowest polymorph of the same formula (eV per atom): 0.189
Formation energy (no corrections) (eV/atom): 0.874
DFT total energy (eV/atom): -4.0208



[3]
The following is a PBE calculation of a relaxed PaTl2InI8 crystal, from the Alexandria database.

```
12
Lattice="8.367 -0.001 -0.006 0.005 7.448 -0.007 0.005 0.013 9.900" Properties=species:S:1:pos:R:3 pbc="T T T"
I 1.088 5.703 7.759
I 7.288 1.757 2.128
Tl 4.189 3.732 7.252
I 1.084 5.694 2.130
I 2.698 1.990 4.945
I 2.512 1.533 -0.002
I 7.293 1.766 7.757
In 0.002 0.007 4.950
I 5.864 5.928 9.889
Pa 0.000 0.000 0.000
I 5.678 5.470 4.941
Tl 4.187 3.728 2.635
```

Output
Formation energy (no corrections) (eV/atom): -0.744
DFT total energy (eV/atom): -3.1910